Entry 1:
CaTa3As | Alexandria | GGA-PBE | optimized geometry; formation energy = 0.7582 eV per atom; final energy = -38.4 eV/cell; polymorph energy (0 for the lowest one) = 0 meV per atom
1.0
4.865 0.000 0.000
0.000 4.865 0.000
0.000 0.000 4.865
As Ca Ta
1 1 3
Cartesian
0.000 0.000 0.000 As
2.432 2.432 2.432 Ca
0.000 2.432 0.000 Ta
0.000 0.000 2.432 Ta
2.432 0.000 0.000 Ta

=====

Entry 2:
Ca2TaAs2 | Alexandria | GGA-PBE | optimized geometry; formation energy = 0.2768 eV per atom; final energy = -23.8 eV/cell; polymorph energy (0 for the lowest one) = 889 meV per atom
1.0
3.620 0.000 0.000
0.000 3.620 0.000
1.810 1.810 9.712
As Ca Ta
2 2 1
Cartesian
3.620 1.810 4.856 As
1.810 3.620 4.856 As
1.810 1.810 2.257 Ca
3.620 3.620 7.455 Ca
0.000 0.000 0.000 Ta

=====

Entry 3:
Ca2TaAs2 | Alexandria | GGA-PBE | optimized geometry; formation energy = 0.2533 eV per atom; final energy = -23.9 eV/cell; polymorph energy (0 for the lowest one) = 865 meV per atom
1.0
-2.201 -2.890 -1.647
3.195 -2.386 -0.084
-1.038 -4.906 5.163
As Ca Ta
2 2 1
Cartesian
0.203 -3.072 0.289 As
-0.247 -7.109 3.143 As
-1.371 -5.217 1.325 Ca
1.327 -4.965 2.107 Ca
0.000 0.000 0.000 Ta

=====

Entry 4:
CaTa2As2 | Alexandria | GGA-PBE | optimized geometry; formation energy = -0.2112 eV per atom; final energy = -36.1 eV/cell
1.0
-0.450 -3.732 -3.238
4.155 -2.045 1.780
-0.512 -5.145 2.200
As Ca Ta
2 1 2
Cartesian
0.445 -5.883 -0.884 As
2.748 -5.039 1.625 As
0.000 0.000 0.000 Ca
1.173 -3.537 0.113 Ta
2.020 -7.385 0.628 Ta

=====

Entry 5:
Ca3Tb2TaAs6 | Alexandria | GGA-PBE | optimized geometry; formation energy = -1.0914 eV per atom; final energy = -68.1 eV/cell
1.0
7.039 -0.004 -0.006
-3.521 6.095 -0.006
-1.179 -2.042 6.854
Ca Tb Ta As
3 2 1 6
Cartesian
-2.288 4.021 3.421 Ca
4.627 0.028 3.421 Ca
1.169 2.025 3.421 Ca
0.009 4.056 -0.006 Tb
3.508 2.035 -0.006 Tb
0.000 0.000 0.000 Ta
3.438 2.155 5.275 As
2.430 4.208 1.574 As
-1.100 1.894 1.567 As
0.149 4.055 5.275 As
-0.092 -0.159 5.269 As
2.190 -0.006 1.567 As

=====

Entry 6:
Ca2TaTcAs | Alexandria | GGA-PBE | optimized geometry; formation energy = 0.6715 eV per atom; final energy = -27.5 eV/cell
1.0
5.462 0.000 0.000
0.000 4.633 0.000
0.000 0.000 5.462
As Ca Tc Ta
1 2 1 1
Cartesian
2.731 2.317 2.731 As
0.000 0.000 2.731 Ca
2.731 0.000 0.000 Ca
0.000 0.000 0.000 Tc
0.000 2.317 0.000 Ta

=====

Entry 7:
Ca3Tm2TaAs6 | Alexandria | GGA-PBE | optimized geometry; formation energy = -1.0897 eV per atom; final energy = -67.8 eV/cell
1.0
6.973 -0.002 -0.003
-3.487 6.039 -0.003
-1.166 -2.019 6.839
Ca Tm Ta As
3 2 1 6
Cartesian
-2.275 3.992 3.416 Ca
4.595 0.025 3.416 Ca
1.160 2.009 3.416 Ca
0.009 4.020 -0.003 Tm
3.477 2.017 -0.003 Tm
0.000 0.000 0.000 Ta
3.420 2.119 5.285 As
2.395 4.146 1.556 As
-1.100 1.898 1.548 As
0.126 4.021 5.285 As
-0.075 -0.129 5.277 As
2.194 -0.004 1.548 As

=====

Entry 8:
Ca2TaVAs | Alexandria | GGA-PBE | optimized geometry; formation energy = 1.2875 eV per atom; final energy = -23.2 eV/cell
1.0
-1.300 -5.549 -0.716
4.694 -0.987 -0.874
0.849 -0.922 5.605
As V Ca Ta
1 1 2 1
Cartesian
2.347 -0.494 -0.437 As
2.121 -3.729 2.008 V
0.425 -0.461 2.803 Ca
-0.650 -2.774 -0.358 Ca
0.000 0.000 0.000 Ta

=====

Entry 9:
CaTa2ZnAs | Alexandria | GGA-PBE | optimized geometry; formation energy = 1.1039 eV per atom; final energy = -26.1 eV/cell
1.0
-4.463 -0.405 1.724
-0.913 -3.823 -3.261
1.549 -3.158 3.268
As Ca Zn Ta
1 1 1 2
Cartesian
-0.456 -1.911 -1.631 As
-1.914 -3.693 0.865 Ca
0.000 0.000 0.000 Zn
0.774 -1.579 1.634 Ta
-2.231 -0.202 0.862 Ta

=====

Entry 10:
CaZrTaAs2 | Alexandria | GGA-PBE | optimized geometry; formation energy = 0.1905 eV per atom; final energy = -30.7 eV/cell
1.0
-1.446 4.605 1.581
0.663 -1.457 4.851
4.824 1.579 -0.185
As Ca Zr Ta
2 1 1 1
Cartesian
2.412 0.789 -0.093 As
-0.723 2.302 0.791 As
2.020 2.363 3.124 Ca
0.332 -0.729 2.426 Zr
0.000 0.000 0.000 Ta

=====

Entry 11:
CaTbAs2 | Alexandria | GGA-PBE | optimized geometry; formation energy = -1.1935 eV per atom; final energy = -20.7 eV/cell; polymorph energy (0 for the lowest one) = 0 meV per atom
1.0
-3.564 2.083 0.318
-3.180 -1.644 2.081
0.054 3.181 6.715
As Tb Ca
2 1 1
Cartesian
-5.045 2.680 6.767 As
-1.646 0.941 2.348 As
-3.345 1.810 4.557 Tb
0.000 0.000 0.000 Ca

=====

Entry 12:
CaTb2As | Alexandria | GGA-PBE | optimized geometry; formation energy = -0.4968 eV per atom; final energy = -17.9 eV/cell
1.0
-3.459 1.473 1.053
-1.486 -0.828 3.514
3.119 8.566 5.506
As Tb Ca
1 2 1
Cartesian
-0.914 4.605 5.037 As
1.506 5.740 4.158 Tb
-3.333 3.470 5.915 Tb
0.000 0.000 0.000 Ca